DFT (PBE+U) results for KMoO3 after structural relaxation.

Cell and atoms, written as POSCAR:
```
KMoO3
1.0
-1.7804 -2.6480 -0.9755
-0.8650 -0.5858 3.1689
-5.3884 3.8993 -0.7500
Mo K O
1 1 3
direct
0.5000 0.5000 0.5717
0.0000 0.0000 0.1196
0.0000 0.0000 0.7384
0.5000 0.0000 0.4170
0.0000 0.5000 0.4170
```

As for the space group: No. 99. For the total magnetic moment, the calculation gives 1.00 μB/cell. The final energy is -28.06 eV/cell. The density of states at the Fermi level is 0.57 states/eV/f.u.